Here is a relaxed Cd3CoRe crystal from Alexandria. Energies are from PBE.

abc: 5.2187 5.2187 5.2187
angles: 90.00 90.00 90.00
Atoms (fractional coordinates):
Cd 0.0000 0.0000 0.5000
Cd 0.0000 0.5000 0.0000
Cd 0.5000 0.0000 0.0000
Co 0.5000 0.5000 0.5000
Re 0.0000 0.0000 0.0000

Summary:
Density of states at the Fermi level in states/eV/atom: 18.412
Calculated total energy in eV per atom: -2.7751
Energy relative to the elements in eV per atom: 1.685
Total magnetization in μB per atom: 0.76